Entry 1:
BaTaAl2 | PBE-GGA | relaxed

## Properties
- Magnetization: 0.0 μB per formula unit
- Symmetry: Imm2, No. 44
- Uncorrected energy: -4.80 eV/atom

a b c (Å): 6.3405 6.3405 6.3405
angles (deg): 152.56 127.82 59.96
Last column: nearest neighbours and their distance in Å.
Atoms (fractional coordinates):
Ba 0.0000 0.0000 0.0000  2 Ba 3.01, 4 Al 3.17
Ta 0.2830 0.7830 0.5000  2 Al 2.78, 2 Ta 3.01
Al 0.4962 0.4962 0.0000  2 Ta 2.78, 4 Al 2.86-3.01
Al 0.7175 0.2175 0.5000  4 Al 2.86-3.01

=====

Entry 2:
Ba2TaAl | PBE-GGA | relaxed

## Properties
- Magnetization: 0.1 μB per formula unit
- Symmetry: P4/mmm, No. 123
- Uncorrected energy: -3.98 eV/atom

a b c (Å): 4.7031 4.7031 5.3351
angles (deg): 90.00 90.00 90.00
Last column: nearest neighbours and their distance in Å.
Atoms (fractional coordinates):
Ba 0.0000 0.5000 0.0000  4 Ba 3.33, 4 Ta 3.56, 4 Al 3.56
Ba 0.5000 0.0000 0.0000  4 Ba 3.33, 4 Ta 3.56, 4 Al 3.56
Ta 0.0000 0.0000 0.5000  4 Al 3.33, 8 Ba 3.56
Al 0.5000 0.5000 0.5000  4 Ta 3.33, 8 Ba 3.56

=====

Entry 3:
Ba2TaAl | PBE-GGA | relaxed

## Properties
- Magnetization: 0.0 μB per formula unit
- Symmetry: I-42d, No. 122
- Uncorrected energy: -3.71 eV/atom

a b c (Å): 12.3787 12.3787 12.3787
angles (deg): 159.20 159.20 29.59
Last column: nearest neighbours and their distance in Å.
Atoms (fractional coordinates):
Ba 0.1225 0.6250 0.9975  4 Ba 3.14-3.18, 2 Ta 3.38, 2 Al 3.39
Ba 0.3750 0.3725 0.4975  4 Ba 3.14-3.18, 2 Ta 3.38, 2 Al 3.39
Ba 0.6275 0.1250 0.0025  4 Ba 3.14-3.18, 2 Ta 3.38, 2 Al 3.39
Ba 0.8750 0.8775 0.5025  4 Ba 3.14-3.18, 2 Ta 3.38, 2 Al 3.39
Ta 0.0000 0.0000 0.0000  4 Al 3.16, 4 Ba 3.38
Ta 0.7500 0.2500 0.5000  4 Al 3.16, 4 Ba 3.38
Al 0.2500 0.7500 0.5000  4 Ta 3.16, 4 Ba 3.39
Al 0.5000 0.5000 0.0000  4 Ta 3.16, 4 Ba 3.39

=====

Entry 4:
BaTaAl2 | PBE-GGA | relaxed

## Properties
- Magnetization: 2.4 μB per formula unit
- Symmetry: I-42d, No. 122
- Uncorrected energy: -4.65 eV/atom

a b c (Å): 10.0493 10.0493 10.0493
angles (deg): 149.64 149.64 43.48
Last column: nearest neighbours and their distance in Å.
Atoms (fractional coordinates):
Ba 0.0000 0.0000 0.0000  4 Ta 3.72, 8 Al 3.75-3.76
Ba 0.7500 0.2500 0.5000  4 Ta 3.72, 8 Al 3.75-3.76
Ta 0.2500 0.7500 0.5000  4 Al 2.68
Ta 0.5000 0.5000 0.0000  4 Al 2.68
Al 0.3734 0.1250 0.7484  2 Al 2.63, 2 Ta 2.68
Al 0.3750 0.6266 0.7516  2 Al 2.63, 2 Ta 2.68
Al 0.3766 0.6250 0.2516  2 Al 2.63, 2 Ta 2.68
Al 0.8750 0.6234 0.2484  2 Al 2.63, 2 Ta 2.68

=====

Entry 5:
BaTaAl2 | PBE-GGA | relaxed

## Properties
- Magnetization: 0.0 μB per formula unit
- Symmetry: I4/mmm, No. 139
- Uncorrected energy: -4.75 eV/atom

a b c (Å): 5.2912 5.2912 5.2912
angles (deg): 127.47 127.47 77.49
Last column: nearest neighbours and their distance in Å.
Atoms (fractional coordinates):
Ba 0.0000 0.0000 0.0000  8 Al 3.12, 4 Ta 3.31
Ta 0.5000 0.5000 0.0000  8 Al 3.12, 4 Ba 3.31
Al 0.2500 0.7500 0.5000  4 Ba 3.12, 4 Ta 3.12, 4 Al 3.31
Al 0.7500 0.2500 0.5000  4 Ba 3.12, 4 Ta 3.12, 4 Al 3.31

=====

Entry 6:
Ba2TaAl | PBE-GGA | relaxed

## Properties
- Magnetization: 0.0 μB per formula unit
- Symmetry: Cmmm, No. 65
- Uncorrected energy: -4.00 eV/atom

a b c (Å): 6.2341 6.2341 3.4017
angles (deg): 90.00 90.00 115.69
Last column: nearest neighbours and their distance in Å.
Atoms (fractional coordinates):
Ba 0.0000 0.5000 0.0000  4 Ba 3.32-3.40, 4 Ta 3.55, 4 Al 3.55
Ba 0.5000 0.0000 0.0000  4 Ba 3.32-3.40, 4 Ta 3.55, 4 Al 3.55
Ta 0.0000 0.0000 0.5000  2 Al 3.32, 2 Ta 3.40, 8 Ba 3.55
Al 0.5000 0.5000 0.5000  2 Ta 3.32, 2 Al 3.40, 8 Ba 3.55

=====

Entry 7:
BaTaAl2 | PBE-GGA | relaxed

## Properties
- Magnetization: 0.0 μB per formula unit
- Symmetry: C2/m, No. 12
- Uncorrected energy: -4.81 eV/atom

a b c (Å): 5.5205 5.5205 2.9903
angles (deg): 90.15 90.15 99.30
Last column: nearest neighbours and their distance in Å.
Atoms (fractional coordinates):
Ba 0.0000 0.0000 0.0000  2 Ba 2.99, 8 Al 3.14
Ta 0.5000 0.5000 0.0000  2 Ta 2.99, 8 Al 3.14
Al 0.0000 0.5000 0.5000  2 Al 2.99, 4 Ba 3.14, 4 Ta 3.14
Al 0.5000 0.0000 0.5000  2 Al 2.99, 4 Ba 3.14, 4 Ta 3.14

=====

Entry 8:
BaTaAl2 | PBE-GGA | relaxed

## Properties
- Magnetization: 0.0 μB per formula unit
- Symmetry: C2/m, No. 12
- Uncorrected energy: -5.03 eV/atom

a b c (Å): 4.8939 4.8939 7.0586
angles (deg): 95.73 95.73 36.55
Last column: nearest neighbours and their distance in Å.
Atoms (fractional coordinates):
Ba 0.0000 0.0000 0.0000  2 Ba 3.07, 2 Al 3.43
Ta 0.5000 0.5000 0.5000  6 Al 2.79-2.84, 2 Ta 3.07
Al 0.2393 0.2393 0.6625  4 Al 2.78-3.07, 3 Ta 2.79-2.84
Al 0.7607 0.7607 0.3375  4 Al 2.78-3.07, 3 Ta 2.79-2.84

=====

- The highest magnetization belongs to which entry?
  number 4